## PmDy5In (PBE-GGA)

Data for a relaxed structure of PmDy5In.

Computed properties:
- Energy of formation: 8.6 kJ per mole of atoms
- E_tot: -4.27 eV/atom
- SG: Imm2
- DOS at the Fermi energy: 1.3267 states/eV per atom

Unit cell a=10.969 b=6.492 c=7.102 alpha=117.20 beta=140.55 gamma=90.00
Fractional coordinates of all 7 atoms:
Dy 0.355 0.766 0.000
Dy 0.321 0.244 0.487
Dy 0.834 0.756 0.513
Dy 0.355 0.234 0.000
Dy 0.103 0.500 0.000
In 0.829 0.500 0.000
Pm 0.733 0.000 0.000